Pr12ErTm6: optimized geometry, PBE.

```
Pr12ErTm6
1.0
6.0924 3.5174 5.1257
-6.0924 3.5174 5.1257
0.0000 -7.0349 5.1257
Pr Er Tm
12 1 6
direct
0.0187 0.1911 0.3648
0.1911 0.3648 0.0187
0.2164 0.4642 0.5667
0.3648 0.0187 0.1911
0.4333 0.7836 0.5358
0.4642 0.5667 0.2164
0.5358 0.4333 0.7836
0.5667 0.2164 0.4642
0.6352 0.9813 0.8089
0.7836 0.5358 0.4333
0.8089 0.6352 0.9813
0.9813 0.8089 0.6352
0.0000 0.0000 0.0000
0.1005 0.7075 0.2580
0.2580 0.1005 0.7075
0.2925 0.7420 0.8995
0.7075 0.2580 0.1005
0.7420 0.8995 0.2925
0.8995 0.2925 0.7420
```

Calculated values
E_tot ... -86.3 eV for the cell shown
DFT formation energy ... 127.3 meV/atom
Crystal system ... trigonal
Energy relative to the lowest polymorph listed for this composition ... 0.000 eV per formula unit
Total magnetic moment ... 0.0 μB per formula unit
Volume ... 659.0 Å³/f.u.